1.
First-principles (PBE) data for crystalline K7TaAs4 at its relaxed geometry, as listed in Alexandria.

Geometry as POSCAR:
```
K7TaAs4
1.0
10.3329 0.0000 0.0000
0.0000 9.2239 0.0000
0.0000 0.0000 8.4029
K Ta As
14 2 8
Direct
0.0000 0.0360 0.0000
0.0000 0.3397 0.7842
0.0000 0.8940 0.5145
0.2111 0.5341 0.4956
0.2168 0.1657 0.3325
0.2832 0.8343 0.8325
0.2889 0.4659 0.9956
0.5000 0.1060 0.0145
0.5000 0.6603 0.2842
0.5000 0.9640 0.5000
0.7111 0.4659 0.9956
0.7168 0.8343 0.8325
0.7832 0.1657 0.3325
0.7889 0.5341 0.4956
0.0000 0.6740 0.1221
0.5000 0.3260 0.6221
0.0000 0.4099 0.2009
0.0000 0.6837 0.8242
0.2025 0.8067 0.2175
0.2975 0.1933 0.7175
0.5000 0.3163 0.3242
0.5000 0.5901 0.7009
0.7025 0.1933 0.7175
0.7975 0.8067 0.2175
```

Computed properties:
M_tot	0.00	μB/f.u.
space group	No. 31
E_form	-5.67	eV per formula unit
calculated density	3.128	g cm⁻³

2.
First-principles (PBE) data for crystalline Mg2CrPd2 at its relaxed geometry, as listed in Alexandria.

Geometry as POSCAR:
```
Mg2CrPd2
1.0
7.4762 0.0000 0.0000
0.0000 7.4762 0.0000
0.0000 0.0000 2.9047
Mg Cr Pd
4 2 4
Direct
0.1567 0.3433 0.0000
0.3433 0.8433 0.0000
0.6567 0.1567 0.0000
0.8433 0.6567 0.0000
0.0000 0.0000 0.5000
0.5000 0.5000 0.5000
0.1426 0.6426 0.5000
0.3574 0.1426 0.5000
0.6426 0.8574 0.5000
0.8574 0.3574 0.5000
```

Computed properties:
M_tot	0.03	μB/f.u.
space group	No. 127
E_form	0.19	eV per formula unit
calculated density	6.412	g cm⁻³

3.
First-principles (PBE) data for crystalline CoTc2HPd at its relaxed geometry, as listed in Alexandria.

Geometry as POSCAR:
```
CoTc2HPd
1.0
3.8346 0.0000 0.0000
0.0000 3.8346 0.0000
0.0000 0.0000 3.8980
Co Tc H Pd
1 2 1 1
Direct
0.0000 0.0000 0.0000
0.0000 0.5000 0.5000
0.5000 0.0000 0.5000
0.0000 0.0000 0.5000
0.5000 0.5000 0.0000
```

Computed properties:
M_tot	1.38	μB/f.u.
energy	-0.2619	hartree per atom
space group	No. 123
calculated density	10.498	g cm⁻³

Question: Which of these has the lowest M_tot?
Answer: K7TaAs4

Question: What is the M_tot in the third record?
Answer: 1.38 μB/f.u.

Question: Among the records above, which one has the highest calculated density?
Answer: CoTc2HPd

Question: Look up the M_tot of the first one.
Answer: 0.00 μB/f.u.